# 1
The following is a GGA-PBE calculation of a geometry-optimized RbBa2NaIn structure, from the Alexandria database.

```
data_RbBa2NaIn
_chemical_formula_sum 'Rb1 Ba2 Na1 In1'
_space_group_name_H-M_alt 'P 4/m m m'
_space_group_IT_number 123
_space_group_name_Hall '-P 4 2'
_cell_length_a 6.873
_cell_length_b 6.873
_cell_length_c 6.369
_cell_angle_alpha 90.00
_cell_angle_beta 90.00
_cell_angle_gamma 90.00
loop_
_atom_site_label
_atom_site_type_symbol
_atom_site_fract_x
_atom_site_fract_y
_atom_site_fract_z
Rb1 Rb 0.000 0.000 0.000
Ba1 Ba 0.000 0.500 0.500
Na1 Na 0.500 0.500 0.000
In1 In 0.500 0.500 0.500
```

Values from the calculation:
- M_tot (μB per formula unit) = 0.00
- calculated total energy (eV per atom) = -1.770



# 2
The following is a GGA-PBE calculation of a geometry-optimized LaBeIO2 structure, from the Alexandria database.

```
data_LaBeIO2
_chemical_formula_sum 'La1 Be1 I1 O2'
_space_group_name_H-M_alt 'P 4/m m m'
_space_group_IT_number 123
_space_group_name_Hall '-P 4 2'
_cell_length_a 4.272
_cell_length_b 4.272
_cell_length_c 4.485
_cell_angle_alpha 90.00
_cell_angle_beta 90.00
_cell_angle_gamma 90.00
loop_
_atom_site_label
_atom_site_type_symbol
_atom_site_fract_x
_atom_site_fract_y
_atom_site_fract_z
La1 La 0.000 0.000 0.000
Be1 Be 0.500 0.500 0.500
I1 I 0.500 0.500 0.000
O1 O 0.000 0.500 0.500
```

Values from the calculation:
- M_tot (μB per formula unit) = 0.00
- ΔE_f (raw) (meV per atom) = -1088



# 3
The following is a GGA-PBE calculation of a geometry-optimized TlAs3I structure, from the Alexandria database.

```
data_TlAs3I
_chemical_formula_sum 'Tl1 As3 I1'
_space_group_name_H-M_alt 'P m -3 m'
_space_group_IT_number 221
_space_group_name_Hall '-P 4 2 3'
_cell_length_a 5.467
_cell_length_b 5.467
_cell_length_c 5.467
_cell_angle_alpha 90.00
_cell_angle_beta 90.00
_cell_angle_gamma 90.00
loop_
_atom_site_label
_atom_site_type_symbol
_atom_site_fract_x
_atom_site_fract_y
_atom_site_fract_z
Tl1 Tl 0.000 0.000 0.000
As1 As 0.000 0.500 0.500
I1 I 0.500 0.500 0.500
```

Values from the calculation:
- M_tot (μB per formula unit) = 1.00
- ΔE_f (raw) (meV per atom) = 1022



# 4
The following is a GGA-PBE calculation of a geometry-optimized YLuSiNi structure, from the Alexandria database.

```
data_YLuSiNi
_chemical_formula_sum 'Y4 Lu4 Si4 Ni4'
_space_group_name_H-M_alt 'F -4 3 m'
_space_group_IT_number 216
_space_group_name_Hall 'F -4 2 3'
_cell_length_a 6.835
_cell_length_b 6.835
_cell_length_c 6.835
_cell_angle_alpha 90.00
_cell_angle_beta 90.00
_cell_angle_gamma 90.00
loop_
_atom_site_label
_atom_site_type_symbol
_atom_site_fract_x
_atom_site_fract_y
_atom_site_fract_z
Y1 Y 0.000 0.000 0.000
Lu1 Lu 0.000 0.000 0.500
Si1 Si 0.250 0.250 0.250
Ni1 Ni 0.250 0.250 0.750
```

Values from the calculation:
- M_tot (μB per formula unit) = 0.00
- ΔE_f (raw) (meV per atom) = -497



# 5
The following is a GGA-PBE calculation of a geometry-optimized TaTl2Cu2 structure, from the Alexandria database.

```
data_TaTl2Cu2
_chemical_formula_sum 'Ta2 Tl4 Cu4'
_space_group_name_H-M_alt 'I 4/m m m'
_space_group_IT_number 139
_space_group_name_Hall '-I 4 2'
_cell_length_a 3.276
_cell_length_b 3.276
_cell_length_c 17.761
_cell_angle_alpha 90.00
_cell_angle_beta 90.00
_cell_angle_gamma 90.00
loop_
_atom_site_label
_atom_site_type_symbol
_atom_site_fract_x
_atom_site_fract_y
_atom_site_fract_z
Ta1 Ta 0.000 0.000 0.000
Tl1 Tl 0.000 0.000 0.383
Cu1 Cu 0.000 0.500 0.250
```

Values from the calculation:
- M_tot (μB per formula unit) = 0.00
- calculated total energy (eV per atom) = -4.412



# 6
The following is a GGA-PBE calculation of a geometry-optimized BeTl3 structure, from the Alexandria database.

```
data_BeTl3
_chemical_formula_sum 'Be4 Tl12'
_space_group_name_H-M_alt 'P n m a'
_space_group_IT_number 62
_cell_length_a 6.902
_cell_length_b 9.387
_cell_length_c 6.249
_cell_angle_alpha 90.00
_cell_angle_beta 90.00
_cell_angle_gamma 90.00
loop_
_space_group_symop_operation_xyz
'x,y,z'
'-x,-y,-z'
'-x+1/2,-y,z+1/2'
'x+1/2,y,-z+1/2'
'x+1/2,-y+1/2,-z+1/2'
'-x+1/2,y+1/2,z+1/2'
'-x,y+1/2,-z'
'x,-y+1/2,z'
loop_
_atom_site_label
_atom_site_type_symbol
_atom_site_fract_x
_atom_site_fract_y
_atom_site_fract_z
Be1 Be 0.121 0.250 0.036
Tl1 Tl 0.050 0.750 0.333
Tl2 Tl 0.175 0.569 0.826
```

Values from the calculation:
- M_tot (μB per formula unit) = 0.00
- calculated total energy (eV per atom) = -2.338



# 7
The following is a GGA-PBE calculation of a geometry-optimized La4CoHgI2 structure, from the Alexandria database.

```
data_La4CoHgI2
_chemical_formula_sum 'La4 Co1 Hg1 I2'
_space_group_name_H-M_alt 'P 1 2/m 1'
_space_group_IT_number 10
_cell_length_a 7.838
_cell_length_b 4.244
_cell_length_c 8.568
_cell_angle_alpha 90.00
_cell_angle_beta 106.76
_cell_angle_gamma 90.00
loop_
_space_group_symop_operation_xyz
'x,y,z'
'-x,-y,-z'
'-x,y,-z'
'x,-y,z'
loop_
_atom_site_label
_atom_site_type_symbol
_atom_site_fract_x
_atom_site_fract_y
_atom_site_fract_z
La1 La 0.209 0.000 0.310
La2 La 0.219 0.500 0.692
Co1 Co 0.000 0.000 0.500
Hg1 Hg 0.500 0.500 0.500
I1 I 0.000 0.500 0.000
I2 I 0.500 0.000 0.000
```

Values from the calculation:
- M_tot (μB per formula unit) = 0.00
- ΔE_f (raw) (meV per atom) = -689



# 8
The following is a GGA-PBE calculation of a geometry-optimized KTmF4 structure, from the Alexandria database.

```
data_KTmF4
_chemical_formula_sum 'K18 Tm18 F72'
_space_group_name_H-M_alt 'P 32'
_space_group_IT_number 145
_cell_length_a 14.0440
_cell_length_b 14.0440
_cell_length_c 10.1762
_cell_angle_alpha 90.00
_cell_angle_beta 90.00
_cell_angle_gamma 120.00
loop_
_space_group_symop_operation_xyz
'x,y,z'
'-y,x-y,z+2/3'
'-x+y,-x,z+1/3'
loop_
_atom_site_label
_atom_site_type_symbol
_atom_site_fract_x
_atom_site_fract_y
_atom_site_fract_z
K1 K 0.0428 0.2715 0.0000
K2 K 0.0548 0.4478 0.6680
K3 K 0.0612 0.7887 0.0302
K4 K 0.0676 0.6221 0.3645
K5 K 0.3881 0.2825 0.3616
K6 K 0.4004 0.1210 0.6649
Tm1 Tm 0.0538 0.1181 0.3395
Tm2 Tm 0.2053 0.4262 0.3475
Tm3 Tm 0.2143 0.6080 0.0112
Tm4 Tm 0.2407 0.1211 0.0094
Tm5 Tm 0.5410 0.4469 0.6865
Tm6 Tm 0.5490 0.2777 0.0245
F1 F 0.0238 0.2609 0.7452
F2 F 0.0365 0.7837 0.2878
F3 F 0.0576 0.4765 0.9233
F4 F 0.0605 0.0081 0.0092
F5 F 0.0646 0.5912 0.1109
F6 F 0.0673 0.4379 0.4119
F7 F 0.0727 0.2731 0.2528
F8 F 0.0855 0.6425 0.6218
F9 F 0.0875 0.8175 0.7736
F10 F 0.1232 0.0547 0.4929
F11 F 0.1863 0.1282 0.2184
F12 F 0.1965 0.0702 0.7961
F13 F 0.2007 0.4743 0.1345
F14 F 0.2109 0.7346 0.8903
F15 F 0.2619 0.5427 0.8352
F16 F 0.2844 0.6077 0.3488
F17 F 0.3911 0.2552 0.1074
F18 F 0.3985 0.3032 0.6167
F19 F 0.3997 0.1473 0.9209
F20 F 0.4211 0.1182 0.4074
F21 F 0.5354 0.3978 0.8996
F22 F 0.5440 0.1471 0.1446
F23 F 0.5938 0.3818 0.2073
F24 F 0.6058 0.3319 0.6856
```

Values from the calculation:
- M_tot (μB per formula unit) = 0.11
- ΔE_f (raw) (meV per atom) = -3771



| no. | N(E_F) (states/eV/atom) |
| --- | --- |
| 1 | 1.20 |
| 2 | 0.11 |
| 3 | 1.57 |
| 4 | 0.29 |
| 5 | 0.68 |
| 6 | 0.49 |
| 7 | 0.65 |
| 8 | 0.00 |